No. 1
Density functional theory data (PBE-GGA) for a relaxed Dy2YAg crystal.

abc: 3.7032 12.6914 9.6649
angles: 90.00 90.00 90.00
Space group Cmcm (No. 63)
Inequivalent atoms, fractional coordinates:
Dy (0.0000, 0.1319, 0.0523)
Y (0.0000, 0.4471, 0.2500)
Ag (0.0000, 0.2526, 0.7500)

## Properties
* N(E_F): 1.427 states/eV per atom
* distance to the lowest polymorph of the same formula: 0.0017 eV per atom
* calculated total energy: -4.760 eV per atom

***

No. 2
Density functional theory data (PBE-GGA) for a relaxed Y2HgSe crystal.

abc: 3.9947 3.9947 22.8151
angles: 90.00 90.00 120.00
Space group R-3m (No. 166, hexagonal axes)
Inequivalent atoms, fractional coordinates:
Y (0.0000, 0.0000, 0.2431)
Hg (0.0000, 0.0000, 0.0000)
Se (0.0000, 0.0000, 0.5000)

## Properties
* N(E_F): 0.572 states/eV per atom
* distance to the lowest polymorph of the same formula: 0.0000 eV per atom
* formation energy without anion corrections: -1.123 eV/atom
* calculated total energy: -5.301 eV per atom

***

No. 3
Density functional theory data (PBE-GGA) for a relaxed Rb2NaTlCl5 crystal.

abc: 4.6695 18.2463 13.6194
angles: 90.00 90.00 90.00
Space group Cmc2_1 (No. 36)
Inequivalent atoms, fractional coordinates:
Rb (0.0000, 0.1153, 0.0000)
Rb (0.0000, 0.1476, 0.6143)
Na (0.0000, 0.2164, 0.3351)
Tl (0.0000, 0.4674, 0.7706)
Cl (0.0000, 0.0538, 0.3653)
Cl (0.0000, 0.2873, 0.9598)
Cl (0.0000, 0.3225, 0.6912)
Cl (0.0000, 0.3720, 0.3110)
Cl (0.0000, 0.4904, 0.0826)

## Properties
* N(E_F): 0.189 states/eV per atom
* formation energy without anion corrections: -1.482 eV/atom
* calculated total energy: -3.132 eV per atom

***

No. 4
Density functional theory data (PBE-GGA) for a relaxed Y2GaSi4Pt3 crystal.

abc: 4.1184 4.1184 10.3222
angles: 90.00 90.00 90.00
Space group P-4m2 (No. 115)
Inequivalent atoms, fractional coordinates:
Y (0.0000, 0.5000, 0.2499)
Ga (0.0000, 0.0000, 0.5000)
Si (0.0000, 0.0000, 0.0000)
Si (0.0000, 0.5000, 0.6433)
Si (0.5000, 0.5000, 0.0000)
Pt (0.0000, 0.5000, 0.8737)
Pt (0.5000, 0.5000, 0.5000)

## Properties
* N(E_F): 0.346 states/eV per atom
* formation energy without anion corrections: -0.959 eV/atom
* calculated total energy: -6.536 eV per atom

***

No. 5
Density functional theory data (PBE-GGA) for a relaxed SrPu2Pt9 crystal.

abc: 5.4663 5.4663 26.5692
angles: 90.00 90.00 120.00
Space group R-3m (No. 166, hexagonal axes)
Inequivalent atoms, fractional coordinates:
Sr (0.0000, 0.0000, 0.0000)
Pu (0.0000, 0.0000, 0.1423)
Pt (0.0000, 0.0000, 0.3324)
Pt (0.0000, 0.0000, 0.5000)
Pt (0.0041, 0.5020, 0.9149)

## Properties
* N(E_F): 2.339 states/eV per atom
* calculated total energy: -7.767 eV per atom

***

No. 6
Density functional theory data (PBE-GGA) for a relaxed Na3UV2Se6 crystal.

abc: 6.7243 11.6437 7.3640
angles: 90.00 107.83 90.00
Space group C2/m (No. 12)
Inequivalent atoms, fractional coordinates:
Na (0.0000, 0.0000, 0.0000)
Na (0.0000, 0.3382, 0.0000)
U (0.0000, 0.5000, 0.5000)
V (0.0000, 0.1672, 0.5000)
Se (0.2167, 0.0000, 0.7140)
Se (0.2491, 0.3227, 0.7144)

## Properties
* N(E_F): 0.275 states/eV per atom
* formation energy without anion corrections: -1.028 eV/atom
* calculated total energy: -5.561 eV per atom

***

No. 7
Density functional theory data (PBE-GGA) for a relaxed ReAgNO2 crystal.

abc: 3.8998 3.8998 3.9266
angles: 90.00 90.00 90.00
Space group P4/mmm (No. 123)
Inequivalent atoms, fractional coordinates:
Re (0.0000, 0.0000, 0.0000)
Ag (0.5000, 0.5000, 0.5000)
N (0.0000, 0.0000, 0.5000)
O (0.0000, 0.5000, 0.0000)

## Properties
* N(E_F): 0.248 states/eV per atom
* formation energy without anion corrections: -0.436 eV/atom
* calculated total energy: -7.145 eV per atom

***

No. 8
Density functional theory data (PBE-GGA) for a relaxed ErThGaAu crystal.

abc: 7.3198 7.3198 7.3198
angles: 90.00 90.00 90.00
Space group F-43m (No. 216)
Inequivalent atoms, fractional coordinates:
Er (0.0000, 0.0000, 0.0000)
Th (0.0000, 0.0000, 0.5000)
Ga (0.2500, 0.2500, 0.7500)
Au (0.2500, 0.2500, 0.2500)

## Properties
* N(E_F): 1.078 states/eV per atom
* distance to the lowest polymorph of the same formula: 0.0817 eV per atom
* calculated total energy: -5.120 eV per atom

***

No. 9
Density functional theory data (PBE-GGA) for a relaxed Cs8Te3Au2 crystal.

abc: 13.2142 17.9047 6.3816
angles: 90.00 90.00 90.00
Space group Cmmm (No. 65)
Inequivalent atoms, fractional coordinates:
Cs (0.0000, 0.1094, 0.0000)
Cs (0.0000, 0.3737, 0.0000)
Cs (0.2332, 0.1157, 0.5000)
Te (0.0000, 0.0000, 0.5000)
Te (0.2236, 0.5000, 0.0000)
Au (0.0000, 0.2610, 0.5000)

## Properties
* formation energy without anion corrections: -0.747 eV/atom
* calculated total energy: -2.501 eV per atom

***

No. 10
Density functional theory data (PBE-GGA) for a relaxed Zr3Tc2 crystal.

abc: 3.3115 3.3115 17.2421
angles: 90.00 90.00 90.00
Space group P4/mmm (No. 123)
Inequivalent atoms, fractional coordinates:
Zr (0.0000, 0.0000, 0.0000)
Zr (0.0000, 0.0000, 0.1898)
Zr (0.0000, 0.0000, 0.3772)
Zr (0.5000, 0.5000, 0.5000)
Tc (0.5000, 0.5000, 0.0954)
Tc (0.5000, 0.5000, 0.2887)

## Properties
* N(E_F): 1.251 states/eV per atom
* distance to the lowest polymorph of the same formula: 0.0000 eV per atom
* calculated total energy: -9.567 eV per atom

***

No. 11
Density functional theory data (PBE-GGA) for a relaxed K4CeSc3Se8 crystal.

abc: 8.2138 8.2138 22.9260
angles: 90.00 90.00 120.00
Space group R-3m (No. 166, hexagonal axes)
Inequivalent atoms, fractional coordinates:
K (0.0000, 0.0000, 0.0000)
K (0.0000, 0.5000, 0.0000)
Ce (0.0000, 0.0000, 0.5000)
Sc (0.0000, 0.5000, 0.5000)
Se (0.0000, 0.0000, 0.2312)
Se (0.0167, 0.5084, 0.7667)

## Properties
* N(E_F): 0.447 states/eV per atom
* formation energy without anion corrections: -1.622 eV/atom
* calculated total energy: -5.196 eV per atom

***

No. 12
Density functional theory data (PBE-GGA) for a relaxed Tb6Ho7 crystal.

abc: 6.5121 6.5121 34.7825
angles: 90.00 90.00 120.00
Space group R-3m (No. 166, hexagonal axes)
Inequivalent atoms, fractional coordinates:
Tb (0.0000, 0.0000, 0.0466)
Tb (0.0000, 0.0000, 0.1488)
Tb (0.0000, 0.0000, 0.3337)
Ho (0.0000, 0.0000, 0.5000)
Ho (0.0034, 0.5017, 0.9127)

## Properties
* N(E_F): 2.237 states/eV per atom
* calculated total energy: -4.333 eV per atom

***

In order of appearance, ρ = 7630, 7224, 3295, 8964, 16892, 5341, 9457, 11279, 4047, 8250, 3953, 8221 kg/m3.